GdDyIn2: PBEsol geometry, SCAN.

abc: 7.416 7.416 7.416
angles: 90.00 90.00 90.00
Space group Fm-3m (No. 225)
Inequivalent atoms, fractional coordinates:
Gd: 0.000 0.000 0.000 x4
Dy: 0.000 0.000 0.500 x4
In: 0.250 0.250 0.250 x8

Properties
* formation energy from the elements: -0.597 eV per atom